(1)
# NaTcSn

A relaxed NaTcSn crystal (GGA-PBE, the Open Quantum Materials Database).

Output
Final energy: -4.474 eV/atom
Excess energy over the best structure of this formula in the dataset: 0 meV per atom

Cell lengths 4.5916, 4.5916, 4.5916 Å; angles 60.00, 60.00, 60.00 degrees
Closest atoms and distances in Å follow each position.
Sites, in units of the cell vectors:
Tc1 0.0000 0.0000 0.0000  4 Sn 2.81, 4 Na 2.81
Na1 0.2500 0.2500 0.2500  4 Tc 2.81
Sn1 0.7500 0.7500 0.7500  4 Tc 2.81

---

(2)
# Co3P

A relaxed Co3P crystal (GGA-PBE, the Open Quantum Materials Database).

Output
Final energy: -6.832 eV/atom
Excess energy over the best structure of this formula in the dataset: 55 meV per atom

Cell lengths 4.9254, 4.9254, 3.8662 Å; angles 90.00, 90.00, 120.00 degrees
Closest atoms and distances in Å follow each position.
Sites, in units of the cell vectors:
Co1 0.1681 0.3361 0.2500  4 P 2.39-2.46, 8 Co 2.41-2.48
Co2 0.8319 0.1681 0.7500  4 P 2.39-2.46, 8 Co 2.41-2.48
P1 0.6667 0.3333 0.2500  12 Co 2.39-2.46
P2 0.3333 0.6667 0.7500  12 Co 2.39-2.46
Co3 0.6639 0.8319 0.2500  4 P 2.39-2.46, 8 Co 2.41-2.48
Co4 0.8319 0.6639 0.7500  4 P 2.39-2.46, 8 Co 2.41-2.48
Co5 0.1681 0.8319 0.2500  4 P 2.39-2.46, 8 Co 2.41-2.48
Co6 0.3361 0.1681 0.7500  4 P 2.39-2.46, 8 Co 2.41-2.48

---

(3)
# Ta4W2Au3C3

A relaxed Ta4W2Au3C3 crystal (GGA-PBE, the Open Quantum Materials Database).

Output
Final energy: -9.502 eV/atom

Cell lengths 5.4600, 5.4600, 14.0321 Å; angles 101.21, 101.21, 60.03 degrees
Closest atoms and distances in Å follow each position.
Sites, in units of the cell vectors:
Ta1 0.6954 0.8639 0.0882  3 C 2.16-2.19
Ta2 0.0295 0.1952 0.0882  3 C 2.16-2.19
Au1 0.4161 0.2688 0.2499  4 Ta 2.90, 2 W 2.91-2.92, 5 Au 2.98-3.24
W1 0.4737 0.6419 0.4218  3 C 2.11-2.13
Ta3 0.8639 0.6954 0.5882  3 C 2.16-2.19
C1 0.6692 0.1613 0.0000  2 W 2.13, 4 Ta 2.16-2.18
C2 0.0000 0.5000 0.0000  2 W 2.11, 4 Ta 2.19
W2 0.6419 0.4737 0.9218  3 C 2.11-2.13
Ta4 0.1361 0.3046 0.4118  3 C 2.16-2.19
W3 0.3581 0.5263 0.0782  3 C 2.11-2.13
C3 0.1613 0.6692 0.5000  2 W 2.13, 4 Ta 2.16-2.18
Au2 0.2688 0.4161 0.7499  4 Ta 2.90, 2 W 2.91-2.92, 5 Au 2.98-3.24
Ta5 0.3046 0.1361 0.9118  3 C 2.16-2.19
Au3 0.1021 0.8979 0.2500  4 Ta 2.90, 2 W 2.91, 4 Au 2.98-3.24
Ta6 0.9705 0.8048 0.9118  3 C 2.16-2.19
Au4 0.5839 0.7312 0.7501  4 Ta 2.90, 2 W 2.91-2.92, 5 Au 2.98-3.24
C4 0.8387 0.3308 0.5000  2 W 2.13, 4 Ta 2.16-2.18
Ta7 0.8048 0.9705 0.4118  3 C 2.16-2.19
W4 0.5263 0.3581 0.5782  3 C 2.11-2.13
C5 0.5000 0.0000 0.5000  2 W 2.11, 4 Ta 2.19
Au5 0.8979 0.1021 0.7500  4 Ta 2.90, 2 W 2.91, 4 Au 2.98-3.24
Au6 0.7312 0.5839 0.2501  4 Ta 2.90, 2 W 2.91-2.92, 5 Au 2.98-3.24
Ta8 0.1952 0.0295 0.5882  3 C 2.16-2.19
C6 0.3308 0.8387 0.0000  2 W 2.13, 4 Ta 2.16-2.18

---

(4)
# Dy2ErTm3Sb2Os

A relaxed Dy2ErTm3Sb2Os crystal (GGA-PBE, the Open Quantum Materials Database).

Output
Final energy: -5.879 eV/atom

Cell lengths 4.2038, 8.1072, 8.1072 Å; angles 120.05, 90.00, 90.00 degrees
Closest atoms and distances in Å follow each position.
Sites, in units of the cell vectors:
Dy1 0.0000 0.9993 0.6071  1 Os 3.20, 4 Sb 3.26-3.27, 4 Tm 3.48
Dy2 0.0000 0.6071 0.9993  1 Os 3.20, 4 Sb 3.26-3.27, 4 Tm 3.48
Tm1 0.5000 0.7656 0.7656  2 Os 2.85, 2 Sb 3.18
Os1 0.0000 0.0031 0.0031  6 Tm 2.83-2.85, 1 Er 3.14
Sb1 0.5000 0.6654 0.3332  3 Tm 3.16-3.18, 2 Er 3.26, 4 Dy 3.26-3.27
Tm2 0.5000 0.2358 0.9999  2 Os 2.83, 1 Sb 3.16
Sb2 0.5000 0.3332 0.6654  3 Tm 3.16-3.18, 2 Er 3.26, 4 Dy 3.26-3.27
Er1 0.0000 0.3906 0.3906  1 Os 3.14, 4 Sb 3.26, 4 Tm 3.47
Tm3 0.5000 0.9999 0.2358  2 Os 2.83, 1 Sb 3.16

---

(5)
# PmAlAu

A relaxed PmAlAu crystal (GGA-PBE, the Open Quantum Materials Database).

Output
Final energy: -4.681 eV/atom
Excess energy over the best structure of this formula in the dataset: 0 meV per atom

Cell lengths 5.8843, 5.8843, 5.8843 Å; angles 134.05, 101.02, 96.52 degrees
Closest atoms and distances in Å follow each position.
Sites, in units of the cell vectors:
Au1 0.8003 0.0195 0.7808  3 Al 2.66-2.69
Al1 0.3790 0.6876 0.6915  3 Au 2.66-2.69, 1 Al 2.87
Al2 0.9961 0.6876 0.3085  3 Au 2.66-2.69, 1 Al 2.87
Pm1 0.8163 0.3163 0.5000  6 Au 3.13-3.24, 6 Al 3.24-3.41
Au2 0.2387 0.0195 0.2192  3 Al 2.66-2.69
Pm2 0.3901 0.3901 0.0000  6 Al 3.14-3.28, 6 Au 3.27-3.33

---

(6)
# Y4Lu2Al3C3

A relaxed Y4Lu2Al3C3 crystal (GGA-PBE, the Open Quantum Materials Database).

Output
Final energy: -6.413 eV/atom

Cell lengths 6.1130, 6.1130, 16.3815 Å; angles 100.71, 100.71, 59.98 degrees
Closest atoms and distances in Å follow each position.
Sites, in units of the cell vectors:
C1 0.5000 0.0000 0.5000  4 Y 2.43-2.44, 2 Lu 2.46
Y1 0.1949 0.0269 0.5833  3 C 2.43-2.49
Al1 0.9211 0.0789 0.2500  4 Al 3.03-3.09, 4 Y 3.20
Y2 0.9731 0.8051 0.9167  3 C 2.43-2.49
Al2 0.4161 0.0982 0.2501  4 Al 3.03-3.09, 4 Y 3.19-3.20
Lu1 0.6362 0.4723 0.9146  3 C 2.39-2.46
Al3 0.0789 0.9211 0.7500  4 Al 3.03-3.09, 4 Y 3.20
Y3 0.6941 0.8610 0.0833  3 C 2.43-2.50
Y4 0.0269 0.1949 0.0833  3 C 2.43-2.49
Lu2 0.5277 0.3638 0.5854  3 C 2.39-2.46
Al4 0.0982 0.4161 0.7501  4 Al 3.03-3.09, 4 Y 3.19-3.20
Lu3 0.4723 0.6362 0.4146  3 C 2.39-2.46
C2 0.0000 0.5000 0.0000  4 Y 2.43-2.44, 2 Lu 2.46
Al5 0.9018 0.5839 0.2499  4 Al 3.03-3.09, 4 Y 3.19-3.20
C3 0.1816 0.6592 0.4998  2 Lu 2.39, 4 Y 2.43-2.50
C4 0.6592 0.1816 0.9998  2 Lu 2.39, 4 Y 2.43-2.50
C5 0.3408 0.8184 0.0002  2 Lu 2.39, 4 Y 2.43-2.50
Y5 0.8610 0.6941 0.5833  3 C 2.43-2.50
Y6 0.1390 0.3059 0.4167  3 C 2.43-2.50
Lu4 0.3638 0.5277 0.0854  3 C 2.39-2.46
Al6 0.5839 0.9018 0.7499  4 Al 3.03-3.09, 4 Y 3.19-3.20
Y7 0.3059 0.1390 0.9167  3 C 2.43-2.50
Y8 0.8051 0.9731 0.4167  3 C 2.43-2.49
C6 0.8184 0.3408 0.5002  2 Lu 2.39, 4 Y 2.43-2.50

---

(7)
# PrTmTlSe3

A relaxed PrTmTlSe3 crystal (GGA-PBE, the Open Quantum Materials Database).

Output
Final energy: -4.962 eV/atom

Cell lengths 7.5594, 7.5594, 11.7812 Å; angles 90.00, 90.00, 146.14 degrees
Closest atoms and distances in Å follow each position.
Sites, in units of the cell vectors:
Se1 0.8596 0.1404 0.4532  1 Tm 2.68
Se2 0.8596 0.1404 0.0468  1 Tm 2.68
Se3 0.1404 0.8596 0.5468  1 Tm 2.68
Pr1 0.5000 0.5000 0.0000  6 Se 3.05
Se4 0.5550 0.4450 0.2500  2 Tm 2.73, 2 Pr 3.05
Tm1 0.9429 0.0571 0.2500  4 Se 2.68-2.73
Se5 0.1404 0.8596 0.9532  1 Tm 2.68
Tm2 0.0571 0.9429 0.7500  4 Se 2.68-2.73
Pr2 0.5000 0.5000 0.5000  6 Se 3.05
Tl1 0.7636 0.2364 0.7500  8 Se 3.43-3.76, 2 Tm 3.71
Tl2 0.2364 0.7636 0.2500  8 Se 3.43-3.76, 2 Tm 3.71
Se6 0.4450 0.5550 0.7500  2 Tm 2.73, 2 Pr 3.05

---

(8)
# NaAlW

A relaxed NaAlW crystal (GGA-PBE, the Open Quantum Materials Database).

Output
Final energy: -4.392 eV/atom
Excess energy over the best structure of this formula in the dataset: 0 meV per atom

Cell lengths 4.5454, 4.5454, 4.5454 Å; angles 60.00, 60.00, 60.00 degrees
Closest atoms and distances in Å follow each position.
Sites, in units of the cell vectors:
Na1 0.7500 0.7500 0.7500  4 W 2.78
Al1 0.2500 0.2500 0.2500  4 W 2.78
W1 0.0000 0.0000 0.0000  4 Al 2.78, 4 Na 2.78

---

(9)
# SrHoU

A relaxed SrHoU crystal (GGA-PBE, the Open Quantum Materials Database).

Output
Final energy: -4.379 eV/atom
Excess energy over the best structure of this formula in the dataset: 0 meV per atom

Cell lengths 5.6092, 5.6092, 5.6092 Å; angles 60.00, 60.00, 60.00 degrees
Closest atoms and distances in Å follow each position.
Sites, in units of the cell vectors:
U1 0.7500 0.7500 0.7500  4 Ho 3.43
Ho1 0.0000 0.0000 0.0000  4 U 3.43, 4 Sr 3.43
Sr1 0.2500 0.2500 0.2500  4 Ho 3.43

---

(10)
# YSn2Ir

A relaxed YSn2Ir crystal (GGA-PBE, the Open Quantum Materials Database).

Output
Final energy: -6.125 eV/atom

Cell lengths 4.9952, 4.9952, 4.9952 Å; angles 60.00, 60.00, 60.00 degrees
Closest atoms and distances in Å follow each position.
Sites, in units of the cell vectors:
Ir1 0.2500 0.2500 0.2500  4 Y 3.06, 4 Sn 3.06
Sn1 0.7500 0.7500 0.7500  4 Sn 3.06, 4 Y 3.06
Y1 0.5000 0.5000 0.5000  4 Ir 3.06, 4 Sn 3.06
Sn2 0.0000 0.0000 0.0000  4 Ir 3.06, 4 Sn 3.06

---

(11)
# Ba2HfNbN4

A relaxed Ba2HfNbN4 crystal (GGA-PBE, the Open Quantum Materials Database).

Output
Final energy: -8.257 eV/atom

Cell lengths 4.1296, 4.1296, 8.2847 Å; angles 90.00, 90.00, 90.00 degrees
Closest atoms and distances in Å follow each position.
Sites, in units of the cell vectors:
Ba1 0.0000 0.0000 0.1537  5 N 2.85-2.93
Ba2 0.5000 0.5000 0.8434  5 N 2.78-2.93
N1 0.0000 0.5000 0.5055  2 Nb 2.16, 2 Hf 2.18
Nb1 0.0000 0.0000 0.5830  1 N 1.88
N2 0.5000 0.5000 0.1795  1 Hf 1.99
N3 0.5000 0.0000 0.5055  2 Nb 2.16, 2 Hf 2.18
N4 0.0000 0.0000 0.8098  1 Nb 1.88
Hf1 0.5000 0.5000 0.4195  5 N 1.99-2.18

---

(12)
# NiMoAsAu

A relaxed NiMoAsAu crystal (GGA-PBE, the Open Quantum Materials Database).

Output
Final energy: -5.882 eV/atom

Cell lengths 4.4103, 4.4103, 4.4103 Å; angles 60.00, 60.00, 60.00 degrees
Closest atoms and distances in Å follow each position.
Sites, in units of the cell vectors:
As1 0.0000 0.0000 0.0000  4 Ni 2.70, 4 Mo 2.70
Au1 0.5000 0.5000 0.5000  4 Ni 2.70, 4 Mo 2.70
Mo1 0.2500 0.2500 0.2500  4 As 2.70, 4 Au 2.70
Ni1 0.7500 0.7500 0.7500  4 Au 2.70, 4 As 2.70

---

Copy entry 12 word for word.
# NiMoAsAu

A relaxed NiMoAsAu crystal (GGA-PBE, the Open Quantum Materials Database).

Output
Final energy: -5.882 eV/atom

Cell lengths 4.4103, 4.4103, 4.4103 Å; angles 60.00, 60.00, 60.00 degrees
Closest atoms and distances in Å follow each position.
Sites, in units of the cell vectors:
As1 0.0000 0.0000 0.0000  4 Ni 2.70, 4 Mo 2.70
Au1 0.5000 0.5000 0.5000  4 Ni 2.70, 4 Mo 2.70
Mo1 0.2500 0.2500 0.2500  4 As 2.70, 4 Au 2.70
Ni1 0.7500 0.7500 0.7500  4 Au 2.70, 4 As 2.70

---

Question: Which of these has the lowest final energy?
Answer: Ta4W2Au3C3